# PBE SmY4N5, optimized geometry
# formation energy (no corrections)	-1643.3	meV per atom
# SG	I4/mmm (139)
# raw total energy	-88.635	eV per cell
data_SmY4N5
_chemical_formula_sum 'Sm1 Y4 N5'
_cell_length_a 12.620
_cell_length_b 12.620
_cell_length_c 12.620
_cell_angle_alpha 164.04
_cell_angle_beta 164.04
_cell_angle_gamma 22.64
_space_group_name_H-M_alt 'P 1'
_space_group_IT_number 1
_space_group_name_Hall 'P 1'
loop_
_atom_site_label
_atom_site_type_symbol
_atom_site_fract_x
_atom_site_fract_y
_atom_site_fract_z
Sm1 Sm 0.000 0.000 0.000
Y1 Y 0.200 0.200 0.000
Y2 Y 0.398 0.398 0.000
Y3 Y 0.602 0.602 0.000
Y4 Y 0.800 0.800 0.000
N1 N 0.102 0.102 0.000
N2 N 0.300 0.300 0.000
N3 N 0.500 0.500 0.000
N4 N 0.700 0.700 0.000
N5 N 0.898 0.898 0.000

# PBE SmY3N4, optimized geometry
# formation energy (no corrections)	-1628.6	meV per atom
# E above lowest polymorph	0.005	eV/atom
# SG	Pm-3m (221)
# raw total energy	-70.442	eV per cell
data_SmY3N4
_chemical_formula_sum 'Sm1 Y3 N4'
_cell_length_a 4.961
_cell_length_b 4.961
_cell_length_c 4.961
_cell_angle_alpha 90.00
_cell_angle_beta 90.00
_cell_angle_gamma 90.00
_space_group_name_H-M_alt 'P 1'
_space_group_IT_number 1
_space_group_name_Hall 'P 1'
loop_
_atom_site_label
_atom_site_type_symbol
_atom_site_fract_x
_atom_site_fract_y
_atom_site_fract_z
Sm1 Sm 0.000 0.000 0.000
Y1 Y 0.000 0.500 0.500
Y2 Y 0.500 0.000 0.500
Y3 Y 0.500 0.500 0.000
N1 N 0.000 0.000 0.500
N2 N 0.000 0.500 0.000
N3 N 0.500 0.000 0.000
N4 N 0.500 0.500 0.500

# PBE SmYN2, optimized geometry
# formation energy (no corrections)	-1328.6	meV per atom
# SG	R3m (160)
# raw total energy	-33.148	eV per cell
data_SmYN2
_chemical_formula_sum 'Sm1 Y1 N2'
_cell_length_a 6.347
_cell_length_b 6.347
_cell_length_c 6.347
_cell_angle_alpha 31.78
_cell_angle_beta 31.78
_cell_angle_gamma 31.78
_space_group_name_H-M_alt 'P 1'
_space_group_IT_number 1
_space_group_name_Hall 'P 1'
loop_
_atom_site_label
_atom_site_type_symbol
_atom_site_fract_x
_atom_site_fract_y
_atom_site_fract_z
Sm1 Sm 0.000 0.000 0.000
Y1 Y 0.829 0.829 0.829
N1 N 0.411 0.411 0.411
N2 N 0.577 0.577 0.577

# PBE SmYN2, optimized geometry
# formation energy (no corrections)	-1576.6	meV per atom
# SG	C2/m (12)
# raw total energy	-68.280	eV per cell
data_SmYN2
_chemical_formula_sum 'Sm2 Y2 N4'
_cell_length_a 6.121
_cell_length_b 6.121
_cell_length_c 5.003
_cell_angle_alpha 114.12
_cell_angle_beta 114.12
_cell_angle_gamma 48.24
_space_group_name_H-M_alt 'P 1'
_space_group_IT_number 1
_space_group_name_Hall 'P 1'
loop_
_atom_site_label
_atom_site_type_symbol
_atom_site_fract_x
_atom_site_fract_y
_atom_site_fract_z
Sm1 Sm 0.125 0.125 0.375
Sm2 Sm 0.875 0.875 0.625
Y1 Y 0.375 0.375 0.124
Y2 Y 0.625 0.625 0.876
N1 N 0.129 0.129 0.878
N2 N 0.379 0.379 0.630
N3 N 0.621 0.621 0.370
N4 N 0.871 0.871 0.122

# PBE SmYN, optimized geometry
# formation energy (no corrections)	-327.4	meV per atom
# E above lowest polymorph	0.680	eV/atom
# SG	F-43m (216)
# raw total energy	-20.491	eV per cell
data_SmYN
_chemical_formula_sum 'Sm1 Y1 N1'
_cell_length_a 4.308
_cell_length_b 4.308
_cell_length_c 4.308
_cell_angle_alpha 60.00
_cell_angle_beta 60.00
_cell_angle_gamma 60.00
_space_group_name_H-M_alt 'P 1'
_space_group_IT_number 1
_space_group_name_Hall 'P 1'
loop_
_atom_site_label
_atom_site_type_symbol
_atom_site_fract_x
_atom_site_fract_y
_atom_site_fract_z
Sm1 Sm 0.000 0.000 0.000
Y1 Y 0.500 0.500 0.500
N1 N 0.750 0.750 0.750

# PBE SmY2ZrN4, optimized geometry
# formation energy (no corrections)	-1641.9	meV per atom
# SG	P2/m (10)
# raw total energy	-72.632	eV per cell
data_SmY2ZrN4
_chemical_formula_sum 'Sm1 Y2 Zr1 N4'
_cell_length_a 5.949
_cell_length_b 3.436
_cell_length_c 5.973
_cell_angle_alpha 90.00
_cell_angle_beta 109.24
_cell_angle_gamma 90.00
_space_group_name_H-M_alt 'P 1'
_space_group_IT_number 1
_space_group_name_Hall 'P 1'
loop_
_atom_site_label
_atom_site_type_symbol
_atom_site_fract_x
_atom_site_fract_y
_atom_site_fract_z
Sm1 Sm 0.000 0.000 0.000
Y1 Y 0.500 0.000 0.500
Y2 Y 0.500 0.500 0.000
Zr1 Zr 0.000 0.500 0.500
N1 N 0.239 0.000 0.734
N2 N 0.246 0.500 0.264
N3 N 0.754 0.500 0.736
N4 N 0.761 0.000 0.266